A geometry-optimized Ta3TiBr structure, computed with PBE-GGA.

ΔE_f (raw) in eV per atom: 1.34
Mass density in g/cm³: 10.7
Space group: Pm-3m (221)

Lattice parameters (Å, degrees): 4.703 4.703 4.703 90.00 90.00 90.00
Fractional coordinates of all 5 atoms:
Ta 0.000 0.500 0.000
Ta 0.500 0.000 0.000
Ta 0.000 0.000 0.500
Ti 0.500 0.500 0.500
Br 0.000 0.000 0.000